No. 1
This record from the Alexandria database describes a relaxed structure of Ac8Y2Ho3. The functional is PBE.

```
data_Ac8Y2Ho3
_chemical_formula_sum 'Ac8 Y2 Ho3'
_cell_length_a 6.6315
_cell_length_b 6.6540
_cell_length_c 12.0329
_cell_angle_alpha 90.04
_cell_angle_beta 100.71
_cell_angle_gamma 99.62
_symmetry_space_group_name_H-M 'P -1'
_symmetry_Int_Tables_number 2
_symmetry_space_group_name_Hall '-P 1'
loop_
_atom_site_label
_atom_site_fract_x
_atom_site_fract_y
_atom_site_fract_z
_atom_site_occupancy
Ac1 0.0432 0.4163 0.1494 1
Ac2 0.1970 0.1170 0.7773 1
Ac3 0.3404 0.8070 0.3832 1
Ac4 0.4200 0.6547 0.6936 1
Y1 0.1115 0.2665 0.4629 1
Ho1 0.2753 0.9615 0.0730 1
Ho2 0.5000 0.5000 0.0000 1
```

The calculation puts the total magnetization at 0.0 μB/cell. For the density of states at the Fermi level, the calculation gives 20.497 states/eV/cell.

No. 2
This record from the Alexandria database describes a relaxed structure of Ac8YHo2. The functional is PBE.

```
data_Ac8YHo2
_chemical_formula_sum 'Ac16 Y2 Ho4'
_cell_length_a 5.8094
_cell_length_b 9.6573
_cell_length_c 16.5443
_cell_angle_alpha 90.00
_cell_angle_beta 90.00
_cell_angle_gamma 90.00
_symmetry_space_group_name_H-M 'I m m m'
_symmetry_Int_Tables_number 71
_symmetry_space_group_name_Hall '-I 2 2'
loop_
_atom_site_label
_atom_site_fract_x
_atom_site_fract_y
_atom_site_fract_z
_atom_site_occupancy
Ac1 0.0000 0.0000 0.1477 1
Ac2 0.0000 0.2111 0.3438 1
Ac3 0.0000 0.3083 0.0000 1
Y1 0.0000 0.5000 0.5000 1
Ho1 0.0000 0.5000 0.2035 1
```

The calculation puts the total magnetization at 0.0 μB/cell. For the density of states at the Fermi level, the calculation gives 41.905 states/eV/cell.

No. 3
This record from the Alexandria database describes a relaxed structure of AcY8Ho5. The functional is PBE.

```
data_AcY8Ho5
_chemical_formula_sum 'Ac2 Y16 Ho10'
_cell_length_a 9.6656
_cell_length_b 9.6656
_cell_length_c 10.1057
_cell_angle_alpha 90.00
_cell_angle_beta 90.00
_cell_angle_gamma 90.00
_symmetry_space_group_name_H-M 'I -4'
_symmetry_Int_Tables_number 82
_symmetry_space_group_name_Hall 'I -4'
loop_
_atom_site_label
_atom_site_fract_x
_atom_site_fract_y
_atom_site_fract_z
_atom_site_occupancy
Ac1 0.0000 0.0000 0.0000 1
Y1 0.0691 0.6650 0.9054 1
Y2 0.0954 0.8190 0.2547 1
Ho1 0.0000 0.5000 0.2500 1
Ho2 0.1129 0.7963 0.5818 1
```

The calculation puts the total magnetization at 0.0 μB/cell. For the density of states at the Fermi level, the calculation gives 45.280 states/eV/cell.

| no. | uncorrected energy (eV per atom) |
| --- | --- |
| 1 | -4.5183 |
| 2 | -4.2708 |
| 3 | -5.3432 |